Record 1
Computed, not measured: an optimized crystal structure of La2PuThSb4 at the PBE level of DFT.

Properties
Symmetry ... P2/m (10)
Calculated total energy ... -56.38 eV/cell
Raw formation energy ... -1.04 eV/atom
DOS at the Fermi energy ... 17.373 states/eV/cell

Cell and atoms, written as POSCAR:
```
La2PuThSb4
1.0
7.8691 0.0000 0.0000
0.0000 4.5514 0.0000
-2.6294 0.0000 7.4460
La Pu Th Sb
2 1 1 4
Cartesian
0.0000 0.0000 0.0000
3.9345 2.2757 0.0000
-1.3147 2.2757 3.7230
2.6198 0.0000 3.7230
-0.0160 0.0000 5.5112
1.3007 2.2757 1.9199
3.9390 2.2757 5.5261
5.2557 0.0000 1.9347
```


Record 2
Computed, not measured: an optimized crystal structure of CaEuMgSc at the PBE level of DFT.

Properties
Symmetry ... F-43m (216)
Calculated total energy ... -19.67 eV/cell
DOS at the Fermi energy ... 3.719 states/eV/cell
Formation energy from the elements ... 3.09 kcal/mol of atoms

Cell and atoms, written as POSCAR:
```
CaEuMgSc
1.0
0.0000 3.9464 3.9464
3.9464 0.0000 3.9464
3.9464 3.9464 0.0000
Ca Eu Mg Sc
1 1 1 1
Cartesian
0.0000 0.0000 0.0000
5.9196 5.9196 5.9196
1.9732 1.9732 1.9732
3.9464 3.9464 3.9464
```


Record 3
Computed, not measured: an optimized crystal structure of KGaF2 at the PBE level of DFT.

Properties
Symmetry ... Fm-3m (225)
Calculated total energy ... -15.70 eV/cell
Raw formation energy ... -1.96 eV/atom
Excess energy over the best structure of this formula in the dataset ... 100 meV/atom
DOS at the Fermi energy ... 0.000 states/eV/cell

Cell and atoms, written as POSCAR:
```
KGaF2
1.0
0.0000 3.2398 3.2398
3.2398 0.0000 3.2398
3.2398 3.2398 0.0000
K Ga F
1 1 2
Cartesian
0.0000 0.0000 0.0000
3.2398 3.2398 3.2398
1.6199 1.6199 1.6199
4.8597 4.8597 4.8597
```


Record 4
Computed, not measured: an optimized crystal structure of Na3Dy2SbSe6 at the PBE level of DFT.

Properties
Symmetry ... C2/m (12)
Calculated total energy ... -54.41 eV/cell
Raw formation energy ... -1.35 eV/atom
DOS at the Fermi energy ... 0.000 states/eV/cell

Cell and atoms, written as POSCAR:
```
Na3Dy2SbSe6
1.0
3.6039 -6.2420 0.0000
3.6039 6.2420 0.0000
-2.4003 0.0000 7.0006
Na Dy Sb Se
3 2 1 6
Cartesian
0.0000 0.0000 0.0000
3.6039 2.0365 0.0000
3.6039 -2.0365 0.0000
2.4037 4.1565 3.5003
2.4037 -4.1565 3.5003
2.4037 0.0000 3.5003
1.1972 2.0881 1.8918
-0.0090 0.0000 5.1004
1.1972 -2.0881 1.8918
3.6103 2.0881 5.1088
4.8164 0.0000 1.9002
3.6103 -2.0881 5.1088
```


Spin magnetization list, top to bottom, in μB/f.u.: 5.45 7.81 0.00 0.00